## BaCa2AgPd (PBE-GGA)

Data for an optimized crystal structure of BaCa2AgPd.

```
BaCa2AgPd
1.0
5.4760 0.0000 0.0000
0.0000 5.4760 0.0000
0.0000 0.0000 5.5963
Ba Ca Ag Pd
1 2 1 1
direct
0.0000 0.0000 0.0000
0.0000 0.5000 0.5000
0.5000 0.0000 0.5000
0.5000 0.5000 0.0000
0.5000 0.5000 0.5000
```

DOS(E_F): 4.2 states/eV/f.u.
Offset from the most stable computed form: 0.05 eV per formula unit
Density: 4272 kg/m³
Calculated volume: 33.56 Å³ per atom
Magnetization: 0.000 Bohr magnetons per cell
Energy of formation from the pure elements: -208 meV per atom